[1]
# Cu5Ag

An optimized crystal structure of Cu5Ag (PBE-GGA, the Open Quantum Materials Database). Values from VASP.

The structure in Quantum ESPRESSO input format:
```
&SYSTEM
  ibrav = 0, nat = 6, ntyp = 2
/
ATOMIC_SPECIES
Ag 107.87 Ag.upf
Cu 63.55 Cu.upf
CELL_PARAMETERS angstrom
-4.2499 -1.6095 0.0083
-2.6337 -1.6850 -3.2979
3.1411 -3.9487 1.6256
ATOMIC_POSITIONS crystal
Ag 0.5000 0.5000 0.5000
Cu 0.1657 0.1657 0.3222
Cu 0.8343 0.8343 0.6778
Cu 0.5000 0.5000 0.0000
Cu 0.8268 0.8268 0.1552
Cu 0.1732 0.1732 0.8448
```

## Properties
* formation energy: 61 meV/atom
* final energy: -3.51 eV/atom

---

[2]
# HoSbIr

An optimized crystal structure of HoSbIr (PBE-GGA, the Open Quantum Materials Database). Values from VASP.

The structure in Quantum ESPRESSO input format:
```
&SYSTEM
  ibrav = 0, nat = 9, ntyp = 3
/
ATOMIC_SPECIES
Ir 192.22 Ir.upf
Ho 164.93 Ho.upf
Sb 121.76 Sb.upf
CELL_PARAMETERS angstrom
6.9736 0.0000 0.0000
-3.4868 6.0393 0.0000
0.0000 0.0000 4.4319
ATOMIC_POSITIONS crystal
Ir 0.0000 0.2389 0.5000
Ho 0.5665 0.0000 0.0000
Ir 0.2389 0.0000 0.5000
Sb 0.6667 0.3333 0.5000
Ho 0.0000 0.5665 0.0000
Sb 0.3333 0.6667 0.5000
Ir 0.7611 0.7611 0.5000
Ho 0.4335 0.4335 0.0000
Sb 0.0000 0.0000 0.0000
```

## Properties
* final energy: -6.64 eV/atom
* M_tot: 0.00 μB/cell

---

[3]
# PrZrGe

An optimized crystal structure of PrZrGe (PBE-GGA, the Open Quantum Materials Database). Values from VASP.

The structure in Quantum ESPRESSO input format:
```
&SYSTEM
  ibrav = 0, nat = 3, ntyp = 3
/
ATOMIC_SPECIES
Pr 140.91 Pr.upf
Ge 72.64 Ge.upf
Zr 91.22 Zr.upf
CELL_PARAMETERS angstrom
0.0000 3.4671 3.4671
3.4671 0.0000 3.4671
3.4671 3.4671 0.0000
ATOMIC_POSITIONS crystal
Pr 0.7500 0.7500 0.7500
Ge 0.2500 0.2500 0.2500
Zr 0.0000 0.0000 0.0000
```

## Properties
* final energy: -5.60 eV/atom
* M_tot: 2.52 μB/cell

---

[4]
# TmCd6Ge6

An optimized crystal structure of TmCd6Ge6 (PBE-GGA, the Open Quantum Materials Database). Values from VASP.

The structure in Quantum ESPRESSO input format:
```
&SYSTEM
  ibrav = 0, nat = 13, ntyp = 3
/
ATOMIC_SPECIES
Cd 112.41 Cd.upf
Ge 72.64 Ge.upf
Tm 168.93 Tm.upf
CELL_PARAMETERS angstrom
5.9259 0.0000 0.0000
-2.9629 5.1320 0.0000
0.0000 0.0000 9.4811
ATOMIC_POSITIONS crystal
Cd 0.5000 0.0000 0.2468
Ge 0.3333 0.6667 0.5000
Tm 0.0000 0.0000 0.0000
Cd 0.5000 0.0000 0.7532
Ge 0.3333 0.6667 0.0000
Cd 0.5000 0.5000 0.7532
Cd 0.0000 0.5000 0.2468
Ge 0.6667 0.3333 0.5000
Ge 0.0000 0.0000 0.6483
Cd 0.5000 0.5000 0.2468
Cd 0.0000 0.5000 0.7532
Ge 0.6667 0.3333 0.0000
Ge 0.0000 0.0000 0.3517
```

## Properties
* final energy: -2.72 eV/atom
* M_tot: 0.01 μB/cell

---

[5]
# GdCdCuTe3

An optimized crystal structure of GdCdCuTe3 (PBE-GGA, the Open Quantum Materials Database). Values from VASP.

The structure in Quantum ESPRESSO input format:
```
&SYSTEM
  ibrav = 0, nat = 12, ntyp = 4
/
ATOMIC_SPECIES
Gd 157.25 Gd.upf
Te 127.60 Te.upf
Cd 112.41 Cd.upf
Cu 63.55 Cu.upf
CELL_PARAMETERS angstrom
2.0782 -7.0531 0.0000
2.0782 7.0531 0.0000
0.0000 0.0000 11.3347
ATOMIC_POSITIONS crystal
Gd 0.5000 0.5000 0.5000
Te 0.8504 0.1496 0.9258
Cd 0.2690 0.7310 0.7500
Cu 0.0258 0.9742 0.2500
Gd 0.5000 0.5000 0.0000
Te 0.4029 0.5971 0.2500
Cu 0.9742 0.0258 0.7500
Te 0.1496 0.8504 0.0742
Te 0.8504 0.1496 0.5742
Te 0.1496 0.8504 0.4258
Cd 0.7310 0.2690 0.2500
Te 0.5971 0.4029 0.7500
```

## Properties
* final energy: -3.74 eV/atom
* M_tot: 0.00 μB/cell

---

[6]
# Be2CuTc

An optimized crystal structure of Be2CuTc (PBE-GGA, the Open Quantum Materials Database). Values from VASP.

The structure in Quantum ESPRESSO input format:
```
&SYSTEM
  ibrav = 0, nat = 4, ntyp = 3
/
ATOMIC_SPECIES
Be 9.01 Be.upf
Cu 63.55 Cu.upf
Tc 98.00 Tc.upf
CELL_PARAMETERS angstrom
-3.9264 -0.0353 0.5473
-2.4381 0.1281 -3.1236
-2.1119 -3.2030 -0.9989
ATOMIC_POSITIONS crystal
Be 0.5000 0.5000 0.5000
Cu 0.0000 0.0000 0.0000
Be 0.7500 0.7500 0.7500
Tc 0.2500 0.2500 0.2500
```

## Properties
* final energy: -5.17 eV/atom
* M_tot: 0.01 μB/cell

---

[7]
# Gd3In3AgAu2

An optimized crystal structure of Gd3In3AgAu2 (PBE-GGA, the Open Quantum Materials Database). Values from VASP.

The structure in Quantum ESPRESSO input format:
```
&SYSTEM
  ibrav = 0, nat = 9, ntyp = 4
/
ATOMIC_SPECIES
In 114.82 In.upf
Gd 157.25 Gd.upf
Au 196.97 Au.upf
Ag 107.87 Ag.upf
CELL_PARAMETERS angstrom
-5.9781 -0.7310 -5.0842
3.6513 -6.4252 2.7398
-2.5516 -0.1608 3.0233
ATOMIC_POSITIONS crystal
In 0.7392 0.0000 0.0000
Gd 0.5929 0.5929 0.5000
In 0.0000 0.7392 0.0000
Gd 0.0000 0.4071 0.5000
Au 0.6667 0.3333 0.0000
Gd 0.4071 0.0000 0.5000
Au 0.3333 0.6667 0.0000
In 0.2608 0.2608 0.0000
Ag 0.0000 0.0000 0.5000
```

## Properties
* final energy: -4.17 eV/atom
* M_tot: 0.00 μB/cell

---

[8]
# PrTaPd

An optimized crystal structure of PrTaPd (PBE-GGA, the Open Quantum Materials Database). Values from VASP.

The structure in Quantum ESPRESSO input format:
```
&SYSTEM
  ibrav = 0, nat = 3, ntyp = 3
/
ATOMIC_SPECIES
Pd 106.42 Pd.upf
Ta 180.95 Ta.upf
Pr 140.91 Pr.upf
CELL_PARAMETERS angstrom
0.0000 3.3327 3.3327
3.3327 0.0000 3.3327
3.3327 3.3327 0.0000
ATOMIC_POSITIONS crystal
Pd 0.2500 0.2500 0.2500
Ta 0.7500 0.7500 0.7500
Pr 0.0000 0.0000 0.0000
```

## Properties
* formation energy: 1179 meV/atom
* final energy: -6.09 eV/atom
* E above lowest polymorph: 0.735 eV/atom
* M_tot: 0.61 μB/cell

---

[9]
# Ho2Tm3Lu3

An optimized crystal structure of Ho2Tm3Lu3 (PBE-GGA, the Open Quantum Materials Database). Values from VASP.

The structure in Quantum ESPRESSO input format:
```
&SYSTEM
  ibrav = 0, nat = 8, ntyp = 3
/
ATOMIC_SPECIES
Tm 168.93 Tm.upf
Lu 174.97 Lu.upf
Ho 164.93 Ho.upf
CELL_PARAMETERS angstrom
5.4896 0.0000 0.0000
0.0000 3.5439 6.1383
0.0000 -3.5439 6.1383
ATOMIC_POSITIONS crystal
Tm 0.5000 0.1662 0.1662
Lu 0.0000 0.8337 0.8337
Lu 0.5000 0.6675 0.1665
Tm 0.0000 0.3326 0.8339
Ho 0.0000 0.3332 0.3332
Lu 0.5000 0.1665 0.6675
Ho 0.5000 0.6665 0.6665
Tm 0.0000 0.8339 0.3326
```

## Properties
* formation energy: 0 meV/atom
* final energy: -4.52 eV/atom
* M_tot: 0.03 μB/cell

---

[10]
# ZnCdFeBi

An optimized crystal structure of ZnCdFeBi (PBE-GGA, the Open Quantum Materials Database). Values from VASP.

The structure in Quantum ESPRESSO input format:
```
&SYSTEM
  ibrav = 0, nat = 4, ntyp = 4
/
ATOMIC_SPECIES
Fe 55.84 Fe.upf
Zn 65.41 Zn.upf
Cd 112.41 Cd.upf
Bi 208.98 Bi.upf
CELL_PARAMETERS angstrom
3.2407 -1.6122 3.2479
-0.3582 1.3369 4.6620
-1.3381 -3.2464 3.3646
ATOMIC_POSITIONS crystal
Fe 0.7500 0.7500 0.7500
Zn 0.2500 0.2500 0.2500
Cd 0.5000 0.5000 0.5000
Bi 0.0000 0.0000 0.0000
```

## Properties
* final energy: -3.17 eV/atom
* E above lowest polymorph: 0.000 eV/atom
* M_tot: 2.87 μB/cell

---

[11]
# NbGaTe

An optimized crystal structure of NbGaTe (PBE-GGA, the Open Quantum Materials Database). Values from VASP.

The structure in Quantum ESPRESSO input format:
```
&SYSTEM
  ibrav = 0, nat = 3, ntyp = 3
/
ATOMIC_SPECIES
Te 127.60 Te.upf
Ga 69.72 Ga.upf
Nb 92.91 Nb.upf
CELL_PARAMETERS angstrom
0.0000 3.2946 3.2946
3.2946 0.0000 3.2946
3.2946 3.2946 0.0000
ATOMIC_POSITIONS crystal
Te 0.0000 0.0000 0.0000
Ga 0.2500 0.2500 0.2500
Nb 0.7500 0.7500 0.7500
```

## Properties
* final energy: -4.92 eV/atom
* E above lowest polymorph: 0.200 eV/atom
* M_tot: 0.01 μB/cell

---

[12]
# BaCuNiBi

An optimized crystal structure of BaCuNiBi (PBE-GGA, the Open Quantum Materials Database). Values from VASP.

The structure in Quantum ESPRESSO input format:
```
&SYSTEM
  ibrav = 0, nat = 4, ntyp = 4
/
ATOMIC_SPECIES
Ba 137.33 Ba.upf
Cu 63.55 Cu.upf
Bi 208.98 Bi.upf
Ni 58.69 Ni.upf
CELL_PARAMETERS angstrom
-2.3683 0.9877 4.4046
-4.5506 -2.0823 0.9699
-0.4327 -3.6472 3.5349
ATOMIC_POSITIONS crystal
Ba 0.5000 0.5000 0.5000
Cu 0.7500 0.7500 0.7500
Bi 0.0000 0.0000 0.0000
Ni 0.2500 0.2500 0.2500
```

## Properties
* final energy: -3.72 eV/atom
* E above lowest polymorph: 0.000 eV/atom
* M_tot: 0.00 μB/cell

---

[13]
# PmCdPd

An optimized crystal structure of PmCdPd (PBE-GGA, the Open Quantum Materials Database). Values from VASP.

The structure in Quantum ESPRESSO input format:
```
&SYSTEM
  ibrav = 0, nat = 3, ntyp = 3
/
ATOMIC_SPECIES
Pm 145.00 Pm.upf
Pd 106.42 Pd.upf
Cd 112.41 Cd.upf
CELL_PARAMETERS angstrom
-3.2683 -0.5845 3.4426
-4.6526 -0.0668 -1.1060
-2.4675 -4.0871 0.2858
ATOMIC_POSITIONS crystal
Pm 0.5000 0.5000 0.5000
Pd 0.7500 0.7500 0.7500
Cd 0.0000 0.0000 0.0000
```

## Properties
* formation energy: -552 meV/atom
* final energy: -4.16 eV/atom
* E above lowest polymorph: 0.000 eV/atom
* M_tot: 0.01 μB/cell

---

[14]
# KNd2OsO6

An optimized crystal structure of KNd2OsO6 (PBE-GGA, the Open Quantum Materials Database). Values from VASP.

The structure in Quantum ESPRESSO input format:
```
&SYSTEM
  ibrav = 0, nat = 20, ntyp = 4
/
ATOMIC_SPECIES
K 39.10 K.upf
Nd 144.24 Nd.upf
O 16.00 O.upf
Os 190.23 Os.upf
CELL_PARAMETERS angstrom
5.6461 0.0000 0.0000
0.0000 6.1627 0.0000
-5.3295 0.0000 8.2170
ATOMIC_POSITIONS crystal
K 0.0000 0.0000 0.5000
Nd 0.7849 0.4400 0.2647
O 0.8377 0.1549 0.0412
Nd 0.2151 0.9400 0.2353
O 0.1623 0.8451 0.9588
O 0.5682 0.0945 0.2128
O 0.5682 0.4055 0.7128
Os 0.5000 0.0000 0.0000
O 0.4318 0.5945 0.2872
O 0.7443 0.7376 0.1026
Nd 0.2151 0.5600 0.7353
O 0.8377 0.3451 0.5412
Nd 0.7849 0.0600 0.7647
O 0.7443 0.7624 0.6026
Os 0.5000 0.5000 0.5000
O 0.4318 0.9055 0.7872
O 0.1623 0.6549 0.4588
O 0.2557 0.2624 0.8974
O 0.2557 0.2376 0.3974
K 0.0000 0.5000 0.0000
```

## Properties
* final energy: -7.40 eV/atom
* E above lowest polymorph: 0.000 eV/atom
* M_tot: 6.01 μB/cell

---

[15]
# Li4CuSb2Pt

An optimized crystal structure of Li4CuSb2Pt (PBE-GGA, the Open Quantum Materials Database). Values from VASP.

The structure in Quantum ESPRESSO input format:
```
&SYSTEM
  ibrav = 0, nat = 8, ntyp = 4
/
ATOMIC_SPECIES
Li 6.94 Li.upf
Cu 63.55 Cu.upf
Sb 121.76 Sb.upf
Pt 195.08 Pt.upf
CELL_PARAMETERS angstrom
4.4602 0.0000 0.0000
0.0000 4.4602 0.0000
0.0000 0.0000 6.2894
ATOMIC_POSITIONS crystal
Li 0.5000 0.5000 0.5000
Li 0.0000 0.5000 0.2535
Li 0.5000 0.0000 0.7465
Cu 0.5000 0.5000 0.0000
Sb 0.0000 0.5000 0.7546
Li 0.0000 0.0000 0.0000
Sb 0.5000 0.0000 0.2454
Pt 0.0000 0.0000 0.5000
```

## Properties
* final energy: -3.76 eV/atom
* M_tot: 0.00 μB/cell

---

[16]
# KAgF2

An optimized crystal structure of KAgF2 (PBE-GGA, the Open Quantum Materials Database). Values from VASP.

The structure in Quantum ESPRESSO input format:
```
&SYSTEM
  ibrav = 0, nat = 4, ntyp = 3
/
ATOMIC_SPECIES
F 19.00 F.upf
K 39.10 K.upf
Ag 107.87 Ag.upf
CELL_PARAMETERS angstrom
3.5391 0.0000 0.0000
0.0000 3.5391 0.0000
0.0000 0.0000 4.9767
ATOMIC_POSITIONS crystal
F 0.5000 0.5000 0.0000
K 0.5000 0.5000 0.5000
F 0.0000 0.0000 0.5000
Ag 0.0000 0.0000 0.0000
```

## Properties
* final energy: -3.71 eV/atom
* E above lowest polymorph: 0.052 eV/atom

---

[17]
# LaHoFe2Ge2C

An optimized crystal structure of LaHoFe2Ge2C (PBE-GGA, the Open Quantum Materials Database). Values from VASP.

The structure in Quantum ESPRESSO input format:
```
&SYSTEM
  ibrav = 0, nat = 7, ntyp = 5
/
ATOMIC_SPECIES
Ge 72.64 Ge.upf
La 138.91 La.upf
Ho 164.93 Ho.upf
C 12.01 C.upf
Fe 55.84 Fe.upf
CELL_PARAMETERS angstrom
5.4471 -2.0227 0.0000
5.4471 2.0227 0.0000
-4.4364 0.0000 5.4364
ATOMIC_POSITIONS crystal
Ge 0.8310 0.8310 0.2748
La 0.4404 0.4404 0.7037
Ge 0.1678 0.1678 0.7199
Ho 0.5533 0.5533 0.2828
C 0.0048 0.0048 0.0149
Fe 0.8080 0.8080 0.9160
Fe 0.1946 0.1946 0.0879
```

## Properties
* final energy: -6.93 eV/atom
* M_tot: 0.02 μB/cell

---

[18]
# Gd3Mg3InPt2

An optimized crystal structure of Gd3Mg3InPt2 (PBE-GGA, the Open Quantum Materials Database). Values from VASP.

The structure in Quantum ESPRESSO input format:
```
&SYSTEM
  ibrav = 0, nat = 9, ntyp = 4
/
ATOMIC_SPECIES
Gd 157.25 Gd.upf
In 114.82 In.upf
Pt 195.08 Pt.upf
Mg 24.30 Mg.upf
CELL_PARAMETERS angstrom
-6.6738 1.6012 -3.0420
1.5231 -7.0027 2.2359
-1.5399 0.8940 3.8491
ATOMIC_POSITIONS crystal
Gd 0.5748 0.0000 0.0000
In 0.0000 0.0000 0.0000
Pt 0.6667 0.3333 0.5000
Gd 0.4252 0.4252 0.0000
Mg 0.2584 0.0000 0.5000
Mg 0.0000 0.2584 0.5000
Gd 0.0000 0.5748 0.0000
Mg 0.7416 0.7416 0.5000
Pt 0.3333 0.6667 0.5000
```

## Properties
* final energy: -4.42 eV/atom
* M_tot: 0.03 μB/cell

---

[19]
# TbDyPt

An optimized crystal structure of TbDyPt (PBE-GGA, the Open Quantum Materials Database). Values from VASP.

The structure in Quantum ESPRESSO input format:
```
&SYSTEM
  ibrav = 0, nat = 3, ntyp = 3
/
ATOMIC_SPECIES
Tb 158.93 Tb.upf
Dy 162.50 Dy.upf
Pt 195.08 Pt.upf
CELL_PARAMETERS angstrom
0.0000 3.3610 3.3610
3.3610 0.0000 3.3610
3.3610 3.3610 0.0000
ATOMIC_POSITIONS crystal
Tb 0.7500 0.7500 0.7500
Dy 0.0000 0.0000 0.0000
Pt 0.2500 0.2500 0.2500
```

## Properties
* formation energy: -106 meV/atom
* final energy: -5.20 eV/atom
* M_tot: 0.00 μB/cell

---

[20]
# PaGaFe

An optimized crystal structure of PaGaFe (PBE-GGA, the Open Quantum Materials Database). Values from VASP.

The structure in Quantum ESPRESSO input format:
```
&SYSTEM
  ibrav = 0, nat = 3, ntyp = 3
/
ATOMIC_SPECIES
Fe 55.84 Fe.upf
Pa 231.04 Pa.upf
Ga 69.72 Ga.upf
CELL_PARAMETERS angstrom
4.1479 0.2978 1.2024
1.0093 1.4523 3.9511
1.5949 -2.7217 2.9644
ATOMIC_POSITIONS crystal
Fe 0.0000 0.0000 0.0000
Pa 0.7500 0.7500 0.7500
Ga 0.2500 0.2500 0.2500
```

## Properties
* final energy: -7.14 eV/atom
* M_tot: 0.00 μB/cell